No. 1
The following is a DFT calculation (PBE) of crystalline Pm7Pr2Th2 at its relaxed geometry.

a b c (Å): 8.240 8.240 6.096
angles (deg): 105.68 105.68 89.75
Positions (direct):
Pm 0.000 0.000 0.000
Pm 0.050 0.592 0.830
Pm 0.408 0.950 0.170
Pm 0.424 0.424 0.203
Pm 0.576 0.576 0.797
Pm 0.592 0.050 0.830
Pm 0.950 0.408 0.170
Pr 0.224 0.224 0.598
Pr 0.776 0.776 0.402
Th 0.218 0.782 0.500
Th 0.782 0.218 0.500

Properties
**D(E_F)**: 16.135 states/eV/cell
**Spin magnetization**: 0.000 μB per atom
**Uncorrected energy**: -5.06 eV/atom
**Formation enthalpy at 0 K**: 0.180 eV per atom
**Volume**: 382.6 Å³/cell



No. 2
The following is a DFT calculation (PBE) of crystalline Tl3Cu5Te12 at its relaxed geometry.

a b c (Å): 14.775 14.775 14.775
angles (deg): 109.47 109.47 109.47
Positions (direct):
Tl 0.125 0.250 0.375
Tl 0.125 0.375 0.750
Tl 0.250 0.375 0.125
Tl 0.250 0.875 0.625
Tl 0.375 0.125 0.250
Tl 0.375 0.750 0.125
Tl 0.625 0.250 0.875
Tl 0.625 0.875 0.750
Tl 0.750 0.125 0.375
Tl 0.750 0.625 0.875
Tl 0.875 0.625 0.250
Tl 0.875 0.750 0.625
Cu 0.000 0.000 0.000
Cu 0.000 0.000 0.500
Cu 0.000 0.500 0.000
Cu 0.000 0.500 0.500
Cu 0.125 0.750 0.875
Cu 0.125 0.875 0.250
Cu 0.250 0.125 0.875
Cu 0.250 0.625 0.375
Cu 0.375 0.250 0.625
Cu 0.375 0.625 0.750
Cu 0.500 0.000 0.000
Cu 0.500 0.000 0.500
Cu 0.500 0.500 0.000
Cu 0.500 0.500 0.500
Cu 0.625 0.375 0.250
Cu 0.625 0.750 0.375
Cu 0.750 0.375 0.625
Cu 0.750 0.875 0.125
Cu 0.875 0.125 0.750
Cu 0.875 0.250 0.125
Te 0.016 0.187 0.131
Te 0.016 0.329 0.885
Te 0.056 0.687 0.671
Te 0.056 0.869 0.385
Te 0.115 0.631 0.444
Te 0.115 0.984 0.671
Te 0.131 0.016 0.187
Te 0.131 0.615 0.944
Te 0.171 0.187 0.556
Te 0.171 0.484 0.615
Te 0.187 0.131 0.016
Te 0.187 0.556 0.171
Te 0.313 0.329 0.944
Te 0.313 0.484 0.369
Te 0.329 0.885 0.016
Te 0.329 0.944 0.313
Te 0.369 0.313 0.484
Te 0.369 0.556 0.885
Te 0.385 0.056 0.869
Te 0.385 0.829 0.516
Te 0.444 0.115 0.631
Te 0.444 0.829 0.813
Te 0.484 0.369 0.313
Te 0.484 0.615 0.171
Te 0.516 0.385 0.829
Te 0.516 0.631 0.687
Te 0.556 0.171 0.187
Te 0.556 0.885 0.369
Te 0.615 0.171 0.484
Te 0.615 0.944 0.131
Te 0.631 0.444 0.115
Te 0.631 0.687 0.516
Te 0.671 0.056 0.687
Te 0.671 0.115 0.984
Te 0.687 0.516 0.631
Te 0.687 0.671 0.056
Te 0.813 0.444 0.829
Te 0.813 0.869 0.984
Te 0.829 0.516 0.385
Te 0.829 0.813 0.444
Te 0.869 0.385 0.056
Te 0.869 0.984 0.813
Te 0.885 0.016 0.329
Te 0.885 0.369 0.556
Te 0.944 0.131 0.615
Te 0.944 0.313 0.329
Te 0.984 0.671 0.115
Te 0.984 0.813 0.869

Properties
**Formation energy (no corrections)**: 0.125 eV/atom
**D(E_F)**: 52.259 states/eV/cell
**Spin magnetization**: 0.000 μB per atom
**Uncorrected energy**: -3.14 eV/atom
**Volume**: 2483.0 Å³/cell



No. 3
The following is a DFT calculation (PBE) of crystalline VReOs at its relaxed geometry.

a b c (Å): 4.530 4.530 5.269
angles (deg): 93.69 93.69 53.98
Positions (direct):
V 0.170 0.170 0.069
V 0.830 0.830 0.931
Re 0.164 0.164 0.560
Re 0.836 0.836 0.440
Os 0.470 0.470 0.757
Os 0.530 0.530 0.243

Properties
**D(E_F)**: 3.914 states/eV/cell
**Spin magnetization**: 0.000 μB per atom
**Uncorrected energy**: -10.94 eV/atom
**Formation enthalpy at 0 K**: -0.010 eV per atom
**Volume**: 87.2 Å³/cell



No. 4
The following is a DFT calculation (PBE) of crystalline Cd3GaPd at its relaxed geometry.

a b c (Å): 6.478 6.478 6.937
angles (deg): 118.50 118.50 77.33
Positions (direct):
Cd 0.054 0.054 0.257
Cd 0.064 0.431 0.766
Cd 0.431 0.064 0.766
Cd 0.569 0.936 0.234
Cd 0.936 0.569 0.234
Cd 0.946 0.946 0.743
Ga 0.411 0.411 0.597
Ga 0.589 0.589 0.403
Pd 0.279 0.279 0.135
Pd 0.721 0.721 0.865

Properties
**D(E_F)**: 3.336 states/eV/cell
**Spin magnetization**: 0.000 μB per atom
**Uncorrected energy**: -2.31 eV/atom
**Formation enthalpy at 0 K**: -0.113 eV per atom
**Volume**: 224.8 Å³/cell



No. 5
The following is a DFT calculation (PBE) of crystalline Pm2Pr2SmY6 at its relaxed geometry.

a b c (Å): 6.224 6.224 11.794
angles (deg): 95.16 95.16 120.24
Positions (direct):
Pm 0.164 0.836 0.000
Pm 0.836 0.164 0.000
Pr 0.334 0.666 0.500
Pr 0.666 0.334 0.500
Sm 0.500 0.500 0.000
Y 0.083 0.415 0.750
Y 0.250 0.250 0.249
Y 0.415 0.083 0.750
Y 0.585 0.917 0.250
Y 0.750 0.750 0.751
Y 0.917 0.585 0.250

Properties
**D(E_F)**: 16.758 states/eV/cell
**Spin magnetization**: 0.000 μB per atom
**Uncorrected energy**: -5.51 eV/atom
**Formation enthalpy at 0 K**: 0.180 eV per atom
**Volume**: 388.2 Å³/cell



No. 6
The following is a DFT calculation (PBE) of crystalline Pm2ZrSi3Ir4 at its relaxed geometry.

a b c (Å): 4.137 4.137 10.731
angles (deg): 90.00 90.00 90.00
Positions (direct):
Pm 0.000 0.500 0.234
Pm 0.500 0.000 0.766
Zr 0.000 0.000 0.500
Si 0.000 0.500 0.879
Si 0.500 0.000 0.121
Si 0.500 0.500 0.500
Ir 0.000 0.000 0.000
Ir 0.000 0.500 0.652
Ir 0.500 0.000 0.348
Ir 0.500 0.500 0.000

Properties
**Formation energy (no corrections)**: -0.996 eV/atom
**D(E_F)**: 4.104 states/eV/cell
**Spin magnetization**: 0.000 μB per atom
**Uncorrected energy**: -7.97 eV/atom
**Volume**: 183.7 Å³/cell



No. 7
The following is a DFT calculation (PBE) of crystalline Tb4TlGaC at its relaxed geometry.

a b c (Å): 8.149 8.149 7.015
angles (deg): 90.00 90.00 129.07
Positions (direct):
Tb 0.000 0.500 0.000
Tb 0.000 0.500 0.500
Tb 0.079 0.921 0.750
Tb 0.414 0.586 0.750
Tb 0.500 0.000 0.000
Tb 0.500 0.000 0.500
Tb 0.586 0.414 0.250
Tb 0.921 0.079 0.250
Tl 0.381 0.619 0.250
Tl 0.619 0.381 0.750
Ga 0.127 0.873 0.250
Ga 0.873 0.127 0.750
C 0.248 0.752 0.750
C 0.752 0.248 0.250

Properties
**D(E_F)**: 1.642 states/eV/cell
**Spin magnetization**: 0.000 μB per atom
**Uncorrected energy**: -5.10 eV/atom
**Formation enthalpy at 0 K**: -0.363 eV per atom
**Volume**: 361.7 Å³/cell



No. 8
The following is a DFT calculation (PBE) of crystalline K2AgPb at its relaxed geometry.

a b c (Å): 7.642 7.642 7.642
angles (deg): 99.22 99.22 132.80
Positions (direct):
K 0.069 0.125 0.444
K 0.375 0.931 0.056
K 0.681 0.625 0.556
K 0.875 0.319 0.944
Ag 0.000 0.000 0.000
Ag 0.750 0.250 0.500
Pb 0.250 0.750 0.500
Pb 0.500 0.500 0.000

Properties
**D(E_F)**: 5.956 states/eV/cell
**Spin magnetization**: 0.000 μB per atom
**Uncorrected energy**: -2.04 eV/atom
**Formation enthalpy at 0 K**: 0.144 eV per atom
**Volume**: 300.0 Å³/cell



No. 9
The following is a DFT calculation (PBE) of crystalline BeCu3Pd4 at its relaxed geometry.

a b c (Å): 6.743 6.741 4.177
angles (deg): 71.98 71.93 36.09
Positions (direct):
Be 0.000 0.000 0.000
Cu 0.251 0.251 0.749
Cu 0.500 0.500 0.500
Cu 0.749 0.749 0.251
Pd 0.119 0.119 0.381
Pd 0.381 0.381 0.119
Pd 0.619 0.619 0.881
Pd 0.881 0.881 0.619

Properties
**D(E_F)**: 2.512 states/eV/cell
**Spin magnetization**: 0.000 μB per atom
**Uncorrected energy**: -4.84 eV/atom
**Formation enthalpy at 0 K**: -0.238 eV per atom
**Volume**: 105.8 Å³/cell



No. 10
The following is a DFT calculation (PBE) of crystalline InFe2Rh2 at its relaxed geometry.

a b c (Å): 6.960 6.960 6.960
angles (deg): 152.10 152.10 39.87
Positions (direct):
In 0.000 0.000 0.000
Fe 0.250 0.750 0.500
Fe 0.750 0.250 0.500
Rh 0.392 0.392 0.000
Rh 0.608 0.608 0.000

Properties
**D(E_F)**: 8.831 states/eV/cell
**Spin magnetization**: 0.000 μB per atom
**Uncorrected energy**: -6.63 eV/atom
**Formation enthalpy at 0 K**: 0.247 eV per atom
**Volume**: 73.7 Å³/cell



No. 11
The following is a DFT calculation (PBE) of crystalline Na2ScCd at its relaxed geometry.

a b c (Å): 6.869 6.869 6.869
angles (deg): 101.12 101.12 127.89
Positions (direct):
Na 0.094 0.625 0.969
Na 0.375 0.344 0.469
Na 0.656 0.125 0.031
Na 0.875 0.906 0.531
Sc 0.250 0.750 0.500
Sc 0.500 0.500 0.000
Cd 0.000 0.000 0.000
Cd 0.750 0.250 0.500

Properties
**D(E_F)**: 11.057 states/eV/cell
**Spin magnetization**: 0.000 μB per atom
**Uncorrected energy**: -2.11 eV/atom
**Formation enthalpy at 0 K**: 0.366 eV per atom
**Volume**: 229.8 Å³/cell



No. 12
The following is a DFT calculation (PBE) of crystalline NaVSi2C at its relaxed geometry.

a b c (Å): 4.189 4.189 4.043
angles (deg): 90.00 90.00 90.00
Positions (direct):
Na 0.000 0.000 0.000
V 0.500 0.500 0.000
Si 0.000 0.500 0.500
Si 0.500 0.000 0.500
C 0.500 0.500 0.500

Properties
**Formation energy (no corrections)**: 0.737 eV/atom
**D(E_F)**: 3.360 states/eV/cell
**Spin magnetization**: 0.000 μB per atom
**Uncorrected energy**: -5.36 eV/atom
**Volume**: 71.0 Å³/cell